No. 1
LuZnGeAu | GGA-PBE | optimized geometry

The structure in CIF format:
```
data_LuZnGeAu
_chemical_formula_sum 'Lu1 Zn1 Ge1 Au1'
_cell_length_a 4.7725
_cell_length_b 4.7725
_cell_length_c 4.7725
_cell_angle_alpha 60.00
_cell_angle_beta 60.00
_cell_angle_gamma 60.00
_symmetry_space_group_name_H-M 'P 1'
_symmetry_Int_Tables_number 1
loop_
_symmetry_equiv_pos_as_xyz
'x,y,z'
loop_
_atom_site_label
_atom_site_fract_x
_atom_site_fract_y
_atom_site_fract_z
Lu1 0.0000 0.0000 0.0000
Zn1 0.5000 0.5000 0.5000
Ge1 0.7500 0.7500 0.7500
Au1 0.2500 0.2500 0.2500
```

## Properties
symmetry: F-43m, No. 216
uncorrected energy: -15.51 eV per formula unit
magnetization: 0.0 μB per formula unit

***

No. 2
LaGe12Ru4 | GGA-PBE | optimized geometry

The structure in CIF format:
```
data_LaGe12Ru4
_chemical_formula_sum 'La1 Ge12 Ru4'
_cell_length_a 7.5468
_cell_length_b 7.5468
_cell_length_c 7.5468
_cell_angle_alpha 109.47
_cell_angle_beta 109.47
_cell_angle_gamma 109.47
_symmetry_space_group_name_H-M 'P 1'
_symmetry_Int_Tables_number 1
loop_
_symmetry_equiv_pos_as_xyz
'x,y,z'
loop_
_atom_site_label
_atom_site_fract_x
_atom_site_fract_y
_atom_site_fract_z
La1 0.0000 0.0000 0.0000
Ge1 0.1575 0.3455 0.5029
Ge2 0.1575 0.6545 0.8120
Ge3 0.1880 0.8425 0.3455
Ge4 0.3455 0.1880 0.8425
Ge5 0.3455 0.5029 0.1575
Ge6 0.4971 0.8425 0.6545
Ge7 0.5029 0.1575 0.3455
Ge8 0.6545 0.4971 0.8425
Ge9 0.6545 0.8120 0.1575
Ge10 0.8120 0.1575 0.6545
Ge11 0.8425 0.3455 0.1880
Ge12 0.8425 0.6545 0.4971
Ru1 0.0000 0.0000 0.5000
Ru2 0.0000 0.5000 0.0000
Ru3 0.5000 0.0000 0.0000
Ru4 0.5000 0.5000 0.5000
```

## Properties
symmetry: Im-3, No. 204
uncorrected energy: -98.42 eV per formula unit
magnetization: 0.0 μB per formula unit

***

No. 3
AcTb6Er3Tm2 | GGA-PBE | optimized geometry

The structure in CIF format:
```
data_AcTb6Er3Tm2
_chemical_formula_sum 'Ac1 Tb6 Er3 Tm2'
_cell_length_a 6.1774
_cell_length_b 6.1774
_cell_length_c 11.8358
_cell_angle_alpha 94.98
_cell_angle_beta 94.98
_cell_angle_gamma 119.98
_symmetry_space_group_name_H-M 'P 1'
_symmetry_Int_Tables_number 1
loop_
_symmetry_equiv_pos_as_xyz
'x,y,z'
loop_
_atom_site_label
_atom_site_fract_x
_atom_site_fract_y
_atom_site_fract_z
Ac1 0.0000 0.0000 0.0000
Tb1 0.0850 0.4218 0.2546
Tb2 0.2519 0.2519 0.7452
Tb3 0.4218 0.0850 0.2546
Tb4 0.5782 0.9150 0.7454
Tb5 0.7481 0.7481 0.2548
Tb6 0.9150 0.5782 0.7454
Er1 0.1673 0.8327 0.5000
Er2 0.5000 0.5000 0.5000
Er3 0.8327 0.1673 0.5000
Tm1 0.3334 0.6666 0.0000
Tm2 0.6666 0.3334 0.0000
```

## Properties
symmetry: C2/m, No. 12
uncorrected energy: -54.11 eV per formula unit
magnetization: 0.0 μB per formula unit

***

No. 4
Er3Tm2Sn2 | GGA-PBE | optimized geometry

The structure in CIF format:
```
data_Er3Tm2Sn2
_chemical_formula_sum 'Er3 Tm2 Sn2'
_cell_length_a 8.3788
_cell_length_b 8.3788
_cell_length_c 7.8210
_cell_angle_alpha 114.99
_cell_angle_beta 114.99
_cell_angle_gamma 23.77
_symmetry_space_group_name_H-M 'P 1'
_symmetry_Int_Tables_number 1
loop_
_symmetry_equiv_pos_as_xyz
'x,y,z'
loop_
_atom_site_label
_atom_site_fract_x
_atom_site_fract_y
_atom_site_fract_z
Er1 0.0000 0.0000 0.0000
Er2 0.2140 0.2140 0.1452
Er3 0.7860 0.7860 0.8548
Tm1 0.1237 0.1237 0.4715
Tm2 0.8763 0.8763 0.5285
Sn1 0.4238 0.4238 0.2389
Sn2 0.5762 0.5762 0.7611
```

## Properties
symmetry: C2/m, No. 12
uncorrected energy: -32.31 eV per formula unit
magnetization: 0.5 μB per formula unit

***

- What is the formula in the second record?
  LaGe12Ru4